A.
Material: MgBi2Sb2
Method: DFT, GGA-PBE
State: relaxed

## Properties
Total magnetization (μB per atom): 0.00

a b c (Å): 8.375 8.375 4.342
angles (deg): 90.00 90.00 90.00
Space group P4/mbm (No. 127)
Asymmetric unit:
Mg 0.000 0.000 0.000
Bi 0.154 0.346 0.500
Sb 0.163 0.663 0.000


B.
Material: MgBi2Sb2
Method: DFT, GGA-PBE
State: relaxed

## Properties
Total magnetization (μB per atom): 0.00

a b c (Å): 4.281 4.281 17.159
angles (deg): 90.00 90.00 90.00
Space group I4/mmm (No. 139)
Asymmetric unit:
Mg 0.000 0.000 0.000
Bi 0.000 0.000 0.409
Sb 0.000 0.500 0.250


Sorted by energy, starting with the most stable: A, B.


A.
Material: Mg14BiSb
Method: DFT, GGA-PBE
State: relaxed

## Properties
Total magnetization (μB per atom): 0.00

a b c (Å): 10.295 6.755 10.954
angles (deg): 90.00 90.00 90.00
Space group Amm2 (No. 38)
Asymmetric unit:
Mg 0.000 0.000 0.000
Mg 0.000 0.000 0.499
Mg 0.000 0.249 0.249
Mg 0.245 0.000 0.822
Mg 0.247 0.245 0.575
Mg 0.249 0.000 0.319
Mg 0.500 0.243 0.742
Bi 0.500 0.000 0.994
Sb 0.500 0.000 0.483


B.
Material: Mg14BiSb
Method: DFT, GGA-PBE
State: relaxed

## Properties
Total magnetization (μB per atom): 0.00

a b c (Å): 6.4018 6.4018 10.5844
angles (deg): 90.00 90.00 120.00
Space group P-6m2 (No. 187)
Asymmetric unit:
Mg 0.0000 0.0000 0.2503
Mg 0.3299 0.1649 0.0000
Mg 0.3324 0.1662 0.5000
Mg 0.5029 0.0058 0.2468
Bi 0.3333 0.6667 0.5000
Sb 0.3333 0.6667 0.0000


Sorted by energy, starting with the most stable: B, A.